1.
Compound: MgRh3S
Source: Alexandria via LeMat-Bulk
Functional: PBE
Structure: relaxed

Summary:
Volume = 18.903 A^3/atom
Density of states at the Fermi level = 6.5 states/eV/cell
Magnetization = 0.566 μB/atom
Energy above the most stable polymorph in this dataset = 1.553 eV/atom

CIF file:
```
data_MgRh3S
_space_group_name_H-M_alt 'P m -3 m'
_space_group_IT_number 221
_space_group_name_Hall '-P 4 2 3'
_cell_length_a 4.5551
_cell_length_b 4.5551
_cell_length_c 4.5551
_cell_angle_alpha 90.00
_cell_angle_beta 90.00
_cell_angle_gamma 90.00
loop_
_atom_site_label
_atom_site_type_symbol
_atom_site_fract_x
_atom_site_fract_y
_atom_site_fract_z
Mg1 Mg 0.0000 0.0000 0.0000
Rh1 Rh 0.0000 0.0000 0.5000
S1 S 0.5000 0.5000 0.5000
```



2.
Compound: AsW2Cl
Source: Alexandria via LeMat-Bulk
Functional: PBE
Structure: relaxed

Summary:
Volume = 20.872 A^3/atom
Density of states at the Fermi level = 2.5 states/eV/cell
Magnetization = 0.000 μB/atom
Energy above the most stable polymorph in this dataset = 0.000 eV/atom

CIF file:
```
data_AsW2Cl
_space_group_name_H-M_alt 'P 1 m 1'
_space_group_IT_number 6
_space_group_name_Hall 'P -2y'
_cell_length_a 3.3101
_cell_length_b 3.1143
_cell_length_c 8.2481
_cell_angle_alpha 90.00
_cell_angle_beta 100.91
_cell_angle_gamma 90.00
loop_
_atom_site_label
_atom_site_type_symbol
_atom_site_fract_x
_atom_site_fract_y
_atom_site_fract_z
As1 As 0.0000 0.0000 0.0000
W1 W 0.1686 0.0000 0.3570
W2 W 0.5825 0.5000 0.1749
Cl1 Cl 0.2800 0.5000 0.5910
```



3.
Compound: ZrSiSbPb2
Source: Alexandria via LeMat-Bulk
Functional: PBE
Structure: relaxed

Summary:
Volume = 33.074 A^3/atom
Total energy = -3.953 eV per atom
Density of states at the Fermi level = 6.0 states/eV/cell
Magnetization = 0.245 μB/atom

CIF file:
```
data_ZrSiSbPb2
_space_group_name_H-M_alt 'P 4/m m m'
_space_group_IT_number 123
_space_group_name_Hall '-P 4 2'
_cell_length_a 5.7846
_cell_length_b 5.7846
_cell_length_c 4.9420
_cell_angle_alpha 90.00
_cell_angle_beta 90.00
_cell_angle_gamma 90.00
loop_
_atom_site_label
_atom_site_type_symbol
_atom_site_fract_x
_atom_site_fract_y
_atom_site_fract_z
Zr1 Zr 0.0000 0.0000 0.0000
Si1 Si 0.5000 0.5000 0.0000
Sb1 Sb 0.5000 0.5000 0.5000
Pb1 Pb 0.0000 0.5000 0.5000
```



4.
Compound: PmY2Cu4
Source: Alexandria via LeMat-Bulk
Functional: PBE
Structure: relaxed

Summary:
Volume = 23.391 A^3/atom
Formation energy = 0.026 eV per atom
Density of states at the Fermi level = 18.3 states/eV/cell
Magnetization = 0.000 μB/atom

CIF file:
```
data_PmY2Cu4
_space_group_name_H-M_alt 'R -3 m'
_space_group_IT_number 166
_space_group_name_Hall '-R 3 2"'
_cell_length_a 4.6818
_cell_length_b 4.6818
_cell_length_c 25.8760
_cell_angle_alpha 90.00
_cell_angle_beta 90.00
_cell_angle_gamma 120.00
loop_
_atom_site_label
_atom_site_type_symbol
_atom_site_fract_x
_atom_site_fract_y
_atom_site_fract_z
Pm1 Pm 0.0000 0.0000 0.0000
Y1 Y 0.0000 0.0000 0.2172
Cu1 Cu 0.0000 0.0000 0.1043
Cu2 Cu 0.0000 0.0000 0.4045
```